Here is a relaxed structure of Er2In2GeRh4 from Alexandria. Energies are from PBE-GGA.

Values from the calculation:
Magnetic moment ... 0.000 μB per atom
Energy of formation from the pure elements ... -316 kJ/mol of formula units
Space group ... I4/mmm
Total DFT energy (no corrections) ... -5.7671 eV per atom
Crystal system ... tetragonal

a = 6.3116 Å, b = 6.3116 Å, c = 6.3116 Å
α = 90.49°, β = 119.72°, γ = 119.72°
Sites, in units of the cell vectors:
Er: 0.0000 0.6937 0.6937
Er: 0.0000 0.3063 0.3063
In: 0.5000 0.7500 0.2500
In: 0.5000 0.2500 0.7500
Ge: 0.0000 0.0000 0.0000
Rh: 0.0000 0.7372 0.2628
Rh: 0.4743 0.7372 0.7372
Rh: 0.0000 0.2628 0.7372
Rh: 0.5257 0.2628 0.2628

Here is a relaxed structure of Er6InGe2S3 from Alexandria. Energies are from PBE-GGA.

Values from the calculation:
Magnetic moment ... 0.000 μB per atom
Space group ... C2/m
Total DFT energy (no corrections) ... -5.6168 eV per atom
Crystal system ... monoclinic

a = 4.0068 Å, b = 8.1862 Å, c = 9.2119 Å
α = 108.72°, β = 102.56°, γ = 90.00°
Sites, in units of the cell vectors:
Er: 0.3254 0.9245 0.6508
Er: 0.6693 0.5701 0.3386
Er: 0.6746 0.0755 0.3492
Er: 0.9921 0.2728 0.9843
Er: 0.0079 0.7272 0.0157
Er: 0.3307 0.4299 0.6614
In: 0.5000 0.0000 0.0000
Ge: 0.8409 0.6872 0.6818
Ge: 0.1591 0.3128 0.3182
S: 0.5000 0.5000 0.0000
S: 0.8317 0.1775 0.6635
S: 0.1683 0.8225 0.3365

Here is a relaxed structure of Er6InGe2Te3 from Alexandria. Energies are from PBE-GGA.

Values from the calculation:
Magnetic moment ... 0.000 μB per atom
Space group ... C2/m
Total DFT energy (no corrections) ... -5.0721 eV per atom
Crystal system ... monoclinic

a = 4.2107 Å, b = 8.6884 Å, c = 9.6212 Å
α = 104.54°, β = 102.64°, γ = 90.00°
Sites, in units of the cell vectors:
Er: 0.3321 0.8938 0.6641
Er: 0.6748 0.5641 0.3496
Er: 0.6679 0.1062 0.3359
Er: 0.0085 0.2548 0.0170
Er: 0.9915 0.7452 0.9830
Er: 0.3252 0.4359 0.6504
In: 0.5000 0.0000 0.0000
Ge: 0.8332 0.6671 0.6665
Ge: 0.1668 0.3329 0.3335
Te: 0.5000 0.5000 0.0000
Te: 0.8353 0.1693 0.6706
Te: 0.1647 0.8307 0.3294

Here is a relaxed structure of ErGe4Ir4 from Alexandria. Energies are from PBE-GGA.

Values from the calculation:
Magnetic moment ... 0.000 μB per atom
Energy of formation from the pure elements ... -280 kJ/mol of formula units
Space group ... I4/m
Total DFT energy (no corrections) ... -6.8194 eV per atom
Crystal system ... tetragonal

a = 4.1308 Å, b = 8.6369 Å, c = 8.6369 Å
α = 90.00°, β = 90.00°, γ = 90.00°
Sites, in units of the cell vectors:
Er: 0.0000 0.0000 0.0000
Er: 0.5000 0.5000 0.5000
Ge: 0.5000 0.8606 0.2179
Ge: 0.5000 0.1394 0.7821
Ge: 0.0000 0.7179 0.6394
Ge: 0.0000 0.3606 0.7179
Ge: 0.0000 0.6394 0.2821
Ge: 0.5000 0.2179 0.1394
Ge: 0.5000 0.7821 0.8606
Ge: 0.0000 0.2821 0.3606
Ir: 0.5000 0.4329 0.8614
Ir: 0.0000 0.6386 0.9329
Ir: 0.5000 0.5671 0.1386
Ir: 0.0000 0.0671 0.6386
Ir: 0.5000 0.8614 0.5671
Ir: 0.0000 0.9329 0.3614
Ir: 0.0000 0.3614 0.0671
Ir: 0.5000 0.1386 0.4329

Here is a relaxed structure of ErGe4Ir2 from Alexandria. Energies are from PBE-GGA.

Values from the calculation:
Magnetic moment ... 0.000 μB per atom
Energy of formation from the pure elements ... -387 kJ/mol of formula units
Space group ... Pnma
Total DFT energy (no corrections) ... -6.3950 eV per atom
Crystal system ... orthorhombic

a = 4.1935 Å, b = 6.8050 Å, c = 17.1356 Å
α = 90.00°, β = 90.00°, γ = 90.00°
Sites, in units of the cell vectors:
Ge: 0.2500 0.2677 0.6921
Ge: 0.7500 0.7323 0.3079
Ge: 0.7500 0.7677 0.8079
Ge: 0.2500 0.2323 0.1921
Ge: 0.2500 0.6899 0.6814
Ge: 0.7500 0.3101 0.3186
Ge: 0.7500 0.1899 0.8186
Ge: 0.2500 0.8101 0.1814
Ge: 0.2500 0.1315 0.5360
Ge: 0.7500 0.8685 0.4640
Ge: 0.7500 0.6315 0.9640
Ge: 0.2500 0.3685 0.0360
Ge: 0.2500 0.4687 0.4347
Ge: 0.7500 0.5313 0.5653
Ge: 0.7500 0.9687 0.0653
Ge: 0.2500 0.0313 0.9347
Ir: 0.2500 0.7518 0.5320
Ir: 0.7500 0.2482 0.4680
Ir: 0.7500 0.2518 0.9680
Ir: 0.2500 0.7482 0.0320
Ir: 0.2500 0.9738 0.7870
Ir: 0.7500 0.0262 0.2130
Ir: 0.7500 0.4738 0.7130
Ir: 0.2500 0.5262 0.2870
Er: 0.7500 0.9916 0.6423
Er: 0.2500 0.0084 0.3577
Er: 0.2500 0.4916 0.8577
Er: 0.7500 0.5084 0.1423

Here is a relaxed structure of Er2Ge2Ir3 from Alexandria. Energies are from PBE-GGA.

Values from the calculation:
Magnetic moment ... 0.000 μB per atom
Energy of formation from the pure elements ... -301 kJ/mol of formula units
Space group ... P2/m
Total DFT energy (no corrections) ... -6.8667 eV per atom
Crystal system ... monoclinic

a = 5.8325 Å, b = 3.2848 Å, c = 8.3439 Å
α = 90.00°, β = 68.05°, γ = 90.00°
Sites, in units of the cell vectors:
Er: 0.3631 0.5000 0.7427
Er: 0.6369 0.5000 0.2573
Ge: 0.1286 0.0000 0.2433
Ge: 0.8714 0.0000 0.7567
Ir: 0.2555 0.0000 0.4884
Ir: 0.0000 0.0000 0.0000
Ir: 0.7445 0.0000 0.5116

Repeat the sixth record exactly.
Here is a relaxed structure of Er2Ge2Ir3 from Alexandria. Energies are from PBE-GGA.

Values from the calculation:
Magnetic moment ... 0.000 μB per atom
Energy of formation from the pure elements ... -301 kJ/mol of formula units
Space group ... P2/m
Total DFT energy (no corrections) ... -6.8667 eV per atom
Crystal system ... monoclinic

a = 5.8325 Å, b = 3.2848 Å, c = 8.3439 Å
α = 90.00°, β = 68.05°, γ = 90.00°
Sites, in units of the cell vectors:
Er: 0.3631 0.5000 0.7427
Er: 0.6369 0.5000 0.2573
Ge: 0.1286 0.0000 0.2433
Ge: 0.8714 0.0000 0.7567
Ir: 0.2555 0.0000 0.4884
Ir: 0.0000 0.0000 0.0000
Ir: 0.7445 0.0000 0.5116

total DFT energy (no corrections) of number 2 (Er6InGe2S3)? -5.6168 eV per atom